DFT (PBE) results for an optimized crystal structure of Hf4Zn3Tc.

Results
The formation energy is -245 kJ/mol of formula units.

a = 3.321 Å, b = 3.321 Å, c = 13.018 Å
α = 90.00°, β = 90.00°, γ = 90.00°
Space group P4/mmm (No. 123)
One atom of each set of equivalent atoms:
Hf 0.000 0.000 0.119 [2 per cell]
Hf 0.000 0.000 0.374 [2 per cell]
Zn 0.500 0.500 0.249 [2 per cell]
Zn 0.500 0.500 0.500 [1 per cell]
Tc 0.500 0.500 0.000 [1 per cell]


DFT (PBE) results for an optimized crystal structure of Hf2ZnTc2.

Results
The formation energy is -48 kJ/mol of formula units.

a = 7.078 Å, b = 7.078 Å, c = 3.589 Å
α = 90.00°, β = 90.00°, γ = 90.00°
Space group P4/mbm (No. 127)
One atom of each set of equivalent atoms:
Hf 0.160 0.340 0.000 [4 per cell]
Zn 0.000 0.000 0.500 [2 per cell]
Tc 0.144 0.644 0.500 [4 per cell]


DFT (PBE) results for an optimized crystal structure of HfZnTc2.

Results
The formation energy is -36 kJ/mol of formula units.

a = 3.955 Å, b = 3.955 Å, c = 4.039 Å
α = 90.00°, β = 90.00°, γ = 90.00°
Space group P4/mmm (No. 123)
One atom of each set of equivalent atoms:
Hf 0.000 0.000 0.000 [1 per cell]
Zn 0.500 0.500 0.000 [1 per cell]
Tc 0.000 0.500 0.500 [2 per cell]


DFT (PBE) results for an optimized crystal structure of Hf2ZnTc.

Results
The formation energy is 135 kJ/mol of formula units.

a = 3.480 Å, b = 3.480 Å, c = 13.786 Å
α = 90.00°, β = 90.00°, γ = 90.00°
Space group I4/mmm (No. 139)
One atom of each set of equivalent atoms:
Hf 0.000 0.000 0.177 [4 per cell]
Zn 0.000 0.000 0.500 [2 per cell]
Tc 0.000 0.000 0.000 [2 per cell]


DFT (PBE) results for an optimized crystal structure of Hf2Zn2Tc.

Results
The formation energy is -53 kJ/mol of formula units.

a = 6.866 Å, b = 6.866 Å, c = 3.657 Å
α = 90.00°, β = 90.00°, γ = 90.00°
Space group P4/mbm (No. 127)
One atom of each set of equivalent atoms:
Hf 0.182 0.318 0.000 [4 per cell]
Zn 0.123 0.623 0.500 [4 per cell]
Tc 0.000 0.000 0.500 [2 per cell]


DFT (PBE) results for an optimized crystal structure of Hf4ZnTc.

Results
The formation energy is 54 kJ/mol of formula units.

a = 4.522 Å, b = 4.522 Å, c = 6.434 Å
α = 90.00°, β = 90.00°, γ = 90.00°
Space group P4/mmm (No. 123)
One atom of each set of equivalent atoms:
Hf 0.000 0.500 0.241 [4 per cell]
Zn 0.000 0.000 0.500 [1 per cell]
Tc 0.500 0.500 0.000 [1 per cell]


DFT (PBE) results for an optimized crystal structure of HfZnTc2.

Results
The formation energy is 194 kJ/mol of formula units.

a = 7.155 Å, b = 7.155 Å, c = 5.333 Å
α = 90.00°, β = 90.00°, γ = 90.00°
Space group I-42d (No. 122)
One atom of each set of equivalent atoms:
Hf 0.000 0.000 0.000 [4 per cell]
Zn 0.000 0.000 0.500 [4 per cell]
Tc 0.228 0.250 0.625 [8 per cell]


DFT (PBE) results for an optimized crystal structure of HfZn2Tc2.

Results
The formation energy is 109 kJ/mol of formula units.

a = 3.579 Å, b = 3.579 Å, c = 13.101 Å
α = 90.00°, β = 90.00°, γ = 90.00°
Space group I4/mmm (No. 139)
One atom of each set of equivalent atoms:
Hf 0.000 0.000 0.000 [2 per cell]
Zn 0.000 0.500 0.250 [4 per cell]
Tc 0.000 0.000 0.403 [4 per cell]